! NaMgScBr6, optimized geometry, DFT GGA-PBE; values from VASP
&SYSTEM
  ibrav = 0, nat = 18, ntyp = 4
/
ATOMIC_SPECIES
Na 22.99 Na.upf
Mg 24.30 Mg.upf
Sc 44.96 Sc.upf
Br 79.90 Br.upf
CELL_PARAMETERS angstrom
6.8860 0.0000 0.0000
-3.4430 5.9635 0.0000
0.0000 0.0000 13.2758
ATOMIC_POSITIONS crystal
Na 0.0000 0.0000 0.0000
Na 0.0000 0.0000 0.5000
Mg 0.3333 0.6667 0.2500
Mg 0.6667 0.3333 0.7500
Sc 0.3333 0.6667 0.7500
Sc 0.6667 0.3333 0.2500
Br 0.0026 0.3627 0.6349
Br 0.0026 0.6399 0.8651
Br 0.3601 0.3627 0.8651
Br 0.3601 0.9974 0.6349
Br 0.3627 0.0026 0.1349
Br 0.3627 0.3601 0.3651
Br 0.6373 0.6399 0.6349
Br 0.6373 0.9974 0.8651
Br 0.6399 0.0026 0.3651
Br 0.6399 0.6373 0.1349
Br 0.9974 0.3601 0.1349
Br 0.9974 0.6373 0.3651
! Formation energy from raw total energies, eV/atom: -1.59
! M_tot, μB per formula unit: 0.0